## Dy2TlBr (PBE)

Data for a geometry-optimized Dy2TlBr structure.

abc: 3.6771 3.6771 27.8812
angles: 90.00 90.00 120.00
With the nearest neighbours (Å) after each atom.
Space group R3m (No. 160, hexagonal axes)
Asymmetric unit:
Dy (0.0000, 0.0000, 0.0000) (multiplicity 3)  3 Br 3.10, 3 Tl 3.21
Dy (0.0000, 0.0000, 0.1609) (multiplicity 3)  3 Br 3.07, 3 Tl 3.21
Tl (0.0000, 0.0000, 0.5805) (multiplicity 3)  6 Dy 3.21
Br (0.0000, 0.0000, 0.7478) (multiplicity 3)  6 Dy 3.07-3.10

## Properties
Relative energy among the computed polymorphs, meV/atom: 0
Uncorrected formation energy, meV per atom: -653
Fermi-level density of states, states/eV per atom: 0.617
VASP energy, eV/atom: -3.964
Magnetization, μB/f.u.: 0.0